{
  "formula": "GdTmZnOs",
  "functional": "PBE",
  "state": "optimized geometry",
  "spacegroup": "F-43m, No. 216",
  "rho_g_cm3": 11.64,
  "e_form_mev_per_atom": -277,
  "n_ef_per_ev_fu": 3.1,
  "lattice": [[4.896, 0.000, 0.000], [2.448, 4.240, 0.000], [2.448, 1.413, 3.998]],
  "species": ["Tm", "Os", "Zn", "Gd"],
  "fractional_positions": [[0.250, 0.250, 0.250], [0.500, 0.500, 0.500], [0.000, 0.000, 0.000], [0.750, 0.750, 0.750]]
}

---

{
  "formula": "Mo2Pt8Rh",
  "functional": "PBE",
  "state": "optimized geometry",
  "spacegroup": "Immm, No. 71",
  "rho_g_cm3": 17.29,
  "e_form_mev_per_atom": -146,
  "n_ef_per_ev_fu": 9.7,
  "lattice": [[-3.629, 1.403, 0.363], [-1.027, -4.340, 6.503], [4.335, 5.827, -0.207]],
  "species": ["Pt", "Mo", "Pt", "Pt", "Pt", "Pt", "Rh", "Mo", "Pt", "Pt", "Pt"],
  "fractional_positions": [[0.173, 0.173, 0.345], [0.833, 0.333, 0.666], [0.660, 0.900, 0.320], [0.000, 0.269, 0.000], [0.660, 0.420, 0.320], [0.340, 0.100, 0.680], [0.500, 0.000, 0.000], [0.167, 0.667, 0.334], [0.000, 0.731, 0.000], [0.340, 0.580, 0.680], [0.827, 0.827, 0.655]]
}

---

{
  "formula": "PmMg2TlPb",
  "functional": "PBE",
  "state": "optimized geometry",
  "spacegroup": "Cmcm, No. 63",
  "rho_g_cm3": 7.41,
  "e_form_mev_per_atom": -201,
  "n_ef_per_ev_fu": 2.7,
  "lattice": [[6.384, 0.000, 0.000], [0.000, 6.392, 0.000], [0.000, -3.196, 6.645]],
  "species": ["Mg", "Mg", "Pb", "Pm", "Mg", "Mg", "Tl", "Pb", "Pm", "Tl"],
  "fractional_positions": [[0.500, 0.253, 0.000], [0.000, 0.747, 0.000], [0.750, 0.353, 0.706], [0.250, 0.260, 0.519], [0.500, 0.747, 0.000], [0.000, 0.253, 0.000], [0.750, 0.133, 0.265], [0.250, 0.647, 0.294], [0.750, 0.740, 0.481], [0.250, 0.867, 0.735]]
}

---

{
  "formula": "KLiSb2",
  "functional": "PBE",
  "state": "optimized geometry",
  "spacegroup": "P2/m, No. 10",
  "rho_g_cm3": 4.23,
  "relative_energy_mev_per_atom": 1,
  "formation_energy_uncorrected_ev_per_atom": -0.380,
  "n_ef_per_ev_fu": 1.0,
  "lattice": [[-2.916, 3.104, -1.338], [-0.464, -1.693, -2.916], [-6.045, -5.590, 0.206]],
  "species": ["Sb", "Li", "K", "Sb"],
  "fractional_positions": [[0.000, 0.060, 0.939], [0.500, 0.750, 0.750], [0.500, 0.250, 0.250], [0.000, 0.440, 0.561]]
}

---

{
  "formula": "LaTiSb2",
  "functional": "PBE",
  "state": "optimized geometry",
  "spacegroup": "R-3m, No. 166",
  "rho_g_cm3": 6.46,
  "relative_energy_mev_per_atom": 0,
  "formation_energy_uncorrected_ev_per_atom": -0.763,
  "n_ef_per_ev_fu": 2.7,
  "lattice": [[-3.576, -2.173, 0.840], [-0.570, -3.893, -1.654], [1.670, -4.864, 5.367]],
  "species": ["Sb", "Ti", "La", "Sb"],
  "fractional_positions": [[0.736, 0.736, 0.793], [0.000, 0.000, 0.000], [0.500, 0.500, 0.500], [0.264, 0.264, 0.207]]
}

---

{
  "formula": "ReTe2Ir",
  "functional": "PBE",
  "state": "optimized geometry",
  "spacegroup": "C2/m, No. 12",
  "rho_g_cm3": 13.81,
  "relative_energy_mev_per_atom": 433,
  "formation_energy_uncorrected_ev_per_atom": 0.654,
  "n_ef_per_ev_fu": 3.1,
  "lattice": [[-3.585, -2.556, -1.146], [-0.797, -3.786, -2.394], [0.079, -3.886, 4.006]],
  "species": ["Re", "Te", "Ir", "Te"],
  "fractional_positions": [[0.750, 0.750, 0.750], [0.008, 0.008, 0.994], [0.250, 0.250, 0.250], [0.492, 0.492, 0.506]]
}

---

{
  "formula": "Ho8In2Pd",
  "functional": "PBE",
  "state": "optimized geometry",
  "spacegroup": "C2/m, No. 12",
  "rho_g_cm3": 8.87,
  "e_form_mev_per_atom": -307,
  "n_ef_per_ev_fu": 11.2,
  "lattice": [[-0.091, -0.033, -5.070], [-3.371, -5.789, 0.098], [-6.924, 6.168, 2.620]],
  "species": ["Ho", "Ho", "Ho", "Ho", "Ho", "Ho", "Ho", "Pd", "In", "In", "Ho"],
  "fractional_positions": [[0.647, 0.985, 0.295], [0.353, 0.015, 0.705], [0.983, 0.230, 0.966], [0.017, 0.770, 0.034], [0.791, 0.691, 0.583], [0.592, 0.465, 0.183], [0.408, 0.535, 0.817], [0.500, 0.000, 0.000], [0.188, 0.758, 0.375], [0.812, 0.242, 0.625], [0.209, 0.309, 0.417]]
}

---

{
  "formula": "CdAu2I8",
  "functional": "PBE",
  "state": "optimized geometry",
  "spacegroup": "C2/m, No. 12",
  "rho_g_cm3": 5.19,
  "relative_energy_mev_per_atom": 0,
  "formation_energy_uncorrected_ev_per_atom": -0.071,
  "n_ef_per_ev_fu": 9.7,
  "lattice": [[-4.351, -3.555, 5.010], [5.156, -0.798, 6.363], [-2.716, 6.291, 4.556]],
  "species": ["I", "I", "I", "I", "I", "Cd", "I", "I", "Au", "I", "Au"],
  "fractional_positions": [[0.789, 0.725, 0.086], [0.687, 0.248, 0.248], [0.211, 0.914, 0.275], [0.166, 0.417, 0.417], [0.313, 0.752, 0.752], [0.000, 0.000, 0.000], [0.834, 0.583, 0.583], [0.789, 0.086, 0.725], [0.605, 0.825, 0.825], [0.211, 0.275, 0.914], [0.395, 0.175, 0.175]]
}

---

{
  "formula": "In2MoIr",
  "functional": "PBE",
  "state": "optimized geometry",
  "spacegroup": "P4mm, No. 99",
  "rho_g_cm3": 11.19,
  "e_form_mev_per_atom": 68,
  "relative_energy_mev_per_atom": 72,
  "n_ef_per_ev_fu": 4.2,
  "lattice": [[-1.698, 0.548, -2.371], [-0.216, -2.913, -0.520], [-7.130, -0.368, 5.021]],
  "species": ["In", "In", "Mo", "Ir"],
  "fractional_positions": [[0.500, 0.500, 0.292], [0.000, 0.000, 0.962], [0.500, 0.500, 0.717], [0.000, 0.000, 0.529]]
}

---

{
  "formula": "Pr2Nd2Ho3",
  "functional": "PBE",
  "state": "optimized geometry",
  "spacegroup": "C2/m, No. 12",
  "rho_g_cm3": 7.40,
  "e_form_mev_per_atom": 121,
  "relative_energy_mev_per_atom": 104,
  "n_ef_per_ev_fu": 11.2,
  "lattice": [[3.523, 0.000, 0.000], [0.000, 8.679, -0.751], [-1.762, -3.636, 8.131]],
  "species": ["Ho", "Pr", "Pr", "Nd", "Ho", "Nd", "Ho"],
  "fractional_positions": [[0.212, 0.804, 0.424], [0.567, 0.910, 0.135], [0.433, 0.090, 0.865], [0.150, 0.338, 0.300], [0.000, 0.500, 0.000], [0.850, 0.662, 0.700], [0.788, 0.196, 0.576]]
}

---

{
  "formula": "SiSn4P6",
  "functional": "PBE",
  "state": "optimized geometry",
  "spacegroup": "Cc, No. 9",
  "rho_g_cm3": 4.23,
  "formation_energy_uncorrected_ev_per_atom": 0.072,
  "n_ef_per_ev_fu": 2.1,
  "lattice": [[-1.796, 1.516, -6.625], [-6.479, -2.677, -2.585], [-7.789, 9.496, 0.555]],
  "species": ["Sn", "P", "P", "Sn", "Sn", "Sn", "P", "Si", "Sn", "P", "P", "P", "P", "Si", "P", "P", "P", "Sn", "P", "Sn", "Sn", "P"],
  "fractional_positions": [[0.746, 0.238, 0.456], [0.439, 0.108, 0.985], [0.482, 0.097, 0.437], [0.933, 0.652, 0.647], [0.768, 0.152, 0.147], [0.036, 0.524, 0.144], [0.690, 0.836, 0.212], [0.684, 0.771, 0.400], [0.246, 0.729, 0.321], [0.468, 0.608, 0.485], [0.002, 0.044, 0.953], [0.922, 0.020, 0.641], [0.002, 0.544, 0.453], [0.145, 0.271, 0.900], [0.546, 0.668, 0.759], [0.418, 0.520, 0.141], [0.263, 0.336, 0.712], [0.561, 0.738, 0.956], [0.984, 0.597, 0.937], [0.703, 0.229, 0.821], [0.297, 0.024, 0.644], [0.027, 0.168, 0.259]]
}

---

{
  "formula": "Na4CaNp3Se8",
  "functional": "PBE",
  "state": "optimized geometry",
  "spacegroup": "R-3m, No. 166",
  "rho_g_cm3": 5.75,
  "formation_energy_uncorrected_ev_per_atom": -1.307,
  "n_ef_per_ev_fu": 28.6,
  "lattice": [[-1.691, 5.839, 5.826], [-8.283, -1.593, -0.808], [5.316, -6.287, 1.760]],
  "species": ["Ca", "Se", "Np", "Se", "Np", "Se", "Na", "Na", "Se", "Na", "Se", "Np", "Se", "Se", "Se", "Na"],
  "fractional_positions": [[0.000, 0.500, 0.000], [0.247, 0.730, 0.494], [0.500, 0.500, 0.000], [0.753, 0.270, 0.017], [0.500, 0.500, 0.500], [0.743, 0.729, 0.486], [0.500, 0.000, 0.500], [0.500, 0.000, 0.000], [0.247, 0.730, 0.983], [0.000, 0.000, 0.000], [0.257, 0.271, 0.514], [0.000, 0.500, 0.500], [0.753, 0.270, 0.506], [0.736, 0.730, 0.983], [0.264, 0.270, 0.017], [0.000, 0.000, 0.500]]
}

---

{
  "formula": "MoAs2Ir",
  "functional": "PBE",
  "state": "optimized geometry",
  "spacegroup": "P2/m, No. 10",
  "rho_g_cm3": 10.92,
  "e_form_mev_per_atom": 153,
  "relative_energy_mev_per_atom": 197,
  "n_ef_per_ev_fu": 3.2,
  "lattice": [[2.977, 0.000, 0.000], [0.000, 3.121, -0.014], [0.000, 0.040, 7.169]],
  "species": ["Mo", "As", "As", "Ir"],
  "fractional_positions": [[0.500, 0.750, 0.750], [0.000, 0.249, 0.969], [0.000, 0.251, 0.531], [0.500, 0.250, 0.250]]
}